(1)
Below is an optimized crystal structure of ZrFe2W, with properties calculated at the PBE level.

a b c (Å): 6.749 6.749 5.521
angles (deg): 52.32 52.32 90.00
Fractional coordinates of all 8 atoms:
1 Zr 0.500 0.500 0.000
2 Zr 0.250 0.750 0.500
3 W 0.000 0.000 0.000
4 W 0.750 0.250 0.500
5 Fe 0.656 0.125 0.250
6 Fe 0.094 0.625 0.250
7 Fe 0.375 0.344 0.750
8 Fe 0.875 0.906 0.750

Calculated values
ρ = 10.16 g/cm3
ΔH_f (0 K) = 0.56 eV/atom

(2)
Below is an optimized crystal structure of Pr2MnSn, with properties calculated at the PBE level.

a b c (Å): 4.452 4.943 4.943
angles (deg): 90.00 90.00 90.00
Last column: magnetic moment on the atom in μB.
Fractional coordinates of all 4 atoms:
1 Pr 0.000 0.000 0.500  -0.23
2 Pr 0.000 0.500 0.000  -0.23
3 Mn 0.500 0.000 0.000  3.74
4 Sn 0.500 0.500 0.500  -0.01

Calculated values
ρ = 6.95 g/cm3
ΔH_f (0 K) = -0.18 eV/atom